Record 1
First-principles (PBE) data for an optimized crystal structure of DyScSbO2, as listed in Alexandria via LeMat-Bulk.

It has space group I4mm (No. 107), with a = 3.753 Å, b = 3.753 Å, c = 13.016 Å, α = 90.00°, β = 90.00° and γ = 90.00°. The inequivalent atoms are Dy at (0.000, 0.000, 0.000), Sc at (0.000, 0.000, 0.664), Sb at (0.000, 0.000, 0.331) and O at (0.000, 0.500, 0.092).

Its density of states at the Fermi level is 1.16 states/eV/f.u. The crystal system is tetragonal. The value obtained for the electronic total energy is -7.614 eV/atom.

---

Record 2
First-principles (PBE) data for an optimized crystal structure of Li3TbPt2, as listed in Alexandria via LeMat-Bulk.

It has space group C2/m (No. 12), with a = 13.567 Å, b = 4.122 Å, c = 8.402 Å, α = 90.00°, β = 119.27° and γ = 90.00°. The inequivalent atoms are Li at (0.058, 0.000, 0.393), Li at (0.082, 0.500, 0.690), Li at (0.222, 0.500, 0.552), Tb at (0.135, 0.000, 0.017), Pt at (0.063, 0.500, 0.192) and Pt at (0.208, 0.000, 0.742).

Its density of states at the Fermi level is 1.81 states/eV/f.u. The crystal system is monoclinic. The formation enthalpy at 0 K is -4.2 eV per formula unit.

---

Record 3
First-principles (PBE) data for an optimized crystal structure of AgPtCl4, as listed in Alexandria via LeMat-Bulk.

It has space group F-43m (No. 216), with a = 8.060 Å, b = 8.060 Å, c = 8.060 Å, α = 90.00°, β = 90.00° and γ = 90.00°. The inequivalent atoms are Ag at (0.000, 0.000, 0.000), Pt at (0.250, 0.250, 0.250) and Cl at (0.125, 0.125, 0.625).

Its density of states at the Fermi level is 8.55 states/eV/f.u. The crystal system is cubic. The value obtained for the electronic total energy is -1.703 eV/atom.

---

Record 4
First-principles (PBE) data for an optimized crystal structure of NaLaHo2Se4, as listed in Alexandria via LeMat-Bulk.

It has space group P2/m (No. 10), with a = 7.179 Å, b = 4.120 Å, c = 7.319 Å, α = 90.00°, β = 108.83° and γ = 90.00°. The inequivalent atoms are Na at (0.000, 0.000, 0.000), La at (0.500, 0.500, 0.000), Ho at (0.000, 0.500, 0.500), Ho at (0.500, 0.000, 0.500), Se at (0.240, 0.000, 0.734) and Se at (0.253, 0.500, 0.265).

Its density of states at the Fermi level is 2.65 states/eV/f.u. The crystal system is monoclinic. The value obtained for the electronic total energy is -5.447 eV/atom.

---

Record 5
First-principles (PBE) data for an optimized crystal structure of Tb6Tm2Sc, as listed in Alexandria via LeMat-Bulk.

It has space group C2/m (No. 12), with a = 11.093 Å, b = 4.962 Å, c = 10.547 Å, α = 90.00°, β = 108.51° and γ = 90.00°. The inequivalent atoms are Tb at (0.164, 0.000, 0.219), Tb at (0.166, 0.000, 0.555), Tb at (0.168, 0.000, 0.891), Tm at (0.002, 0.500, 0.670) and Sc at (0.000, 0.500, 0.000).

Its density of states at the Fermi level is 11.54 states/eV/f.u. The crystal system is monoclinic. The formation enthalpy at 0 K is 0.3 eV per formula unit.

---

Record 6
First-principles (PBE) data for an optimized crystal structure of Ti3Ni3As4, as listed in Alexandria via LeMat-Bulk.

It has space group I-43d (No. 220), with a = 8.424 Å, b = 8.424 Å, c = 8.424 Å, α = 90.00°, β = 90.00° and γ = 90.00°. The inequivalent atoms are Ti at (0.000, 0.250, 0.375), Ni at (0.000, 0.250, 0.875) and As at (0.083, 0.083, 0.083).

The crystal system is cubic. The formation enthalpy at 0 K is -6.2 eV per formula unit.